Ca2SnTeIr, optimized geometry, DFT GGA-PBE; formation energy (no corrections) = -0.63 eV per atom
1.0
5.526 0.000 0.000
0.000 5.526 0.000
0.000 0.000 5.005
Ca Sn Te Ir
2 1 1 1
Direct
0.000 0.500 0.000
0.500 0.000 0.000
0.000 0.000 0.500
0.500 0.500 0.500
0.000 0.000 0.000


CaYSnIr2, optimized geometry, DFT GGA-PBE; ΔH_f (0 K) = 1.103 eV per atom
1.0
5.020 0.000 0.000
0.000 5.020 0.000
0.000 0.000 5.506
Ca Y Sn Ir
1 1 1 2
Direct
0.000 0.000 0.000
0.000 0.000 0.500
0.500 0.500 0.000
0.000 0.500 0.500
0.500 0.000 0.500


Ca2ZrSnIr, optimized geometry, DFT GGA-PBE; ΔH_f (0 K) = 0.746 eV per atom
1.0
5.697 0.000 0.000
0.000 5.697 0.000
0.000 0.000 4.894
Ca Zr Sn Ir
2 1 1 1
Direct
0.000 0.500 0.000
0.500 0.000 0.000
0.000 0.000 0.500
0.500 0.500 0.000
0.500 0.500 0.500


SrCa2Ir, optimized geometry, DFT GGA-PBE; ΔH_f (0 K) = 0.115 eV per atom
1.0
4.760 0.000 0.000
0.000 4.760 0.000
0.000 0.000 4.941
Sr Ca Ir
1 2 1
Direct
0.000 0.000 0.000
0.000 0.500 0.500
0.500 0.000 0.500
0.500 0.500 0.000


SrCaIr3, optimized geometry, DFT GGA-PBE; ΔH_f (0 K) = 1.833 eV per atom
1.0
5.024 0.000 0.000
0.000 5.024 0.000
0.000 0.000 5.024
Sr Ca Ir
1 1 3
Direct
0.000 0.000 0.000
0.500 0.500 0.500
0.000 0.000 0.500
0.000 0.500 0.000
0.500 0.000 0.000


SrCa4Ir, optimized geometry, DFT GGA-PBE; ΔH_f (0 K) = 0.629 eV per atom
1.0
0.000 4.676 4.676
4.676 0.000 4.676
4.676 4.676 0.000
Sr Ca Ir
1 4 1
Direct
0.000 0.000 0.000
0.130 0.623 0.623
0.623 0.130 0.623
0.623 0.623 0.130
0.623 0.623 0.623
0.250 0.250 0.250


SrCa2Ir, optimized geometry, DFT GGA-PBE; ΔH_f (0 K) = 0.337 eV per atom
1.0
3.241 -5.418 0.000
3.241 5.418 0.000
-1.694 0.000 3.232
Sr Ca Ir
1 2 1
Direct
0.000 0.000 0.000
0.000 0.500 0.500
0.500 0.000 0.500
0.500 0.500 0.000


Sr3CaIr, optimized geometry, DFT GGA-PBE; ΔH_f (0 K) = -0.124 eV per atom
1.0
7.855 0.000 0.000
0.000 7.447 0.000
-0.146 0.000 14.350
Sr Ca Ir
12 4 4
Direct
0.112 0.213 0.039
0.112 0.787 0.539
0.252 0.056 0.290
0.252 0.944 0.790
0.368 0.268 0.556
0.368 0.732 0.056
0.632 0.268 0.944
0.632 0.732 0.444
0.748 0.056 0.210
0.748 0.944 0.710
0.888 0.213 0.461
0.888 0.787 0.961
0.201 0.417 0.794
0.201 0.583 0.294
0.799 0.417 0.706
0.799 0.583 0.206
0.054 0.161 0.652
0.054 0.839 0.152
0.946 0.161 0.848
0.946 0.839 0.348